Density functional theory data (PBE-GGA) for an optimized crystal structure of HfScZnOs.

Computed properties:
Calculated formation energy in eV/atom: -0.44
Raw total energy in eV per atom: -7.6338
Distance to the lowest polymorph of the same formula in eV per atom: 0.037
Space group: F-43m, No. 216

a = 4.6315 Å, b = 4.6315 Å, c = 4.6315 Å
α = 60.00°, β = 60.00°, γ = 60.00°
Atoms (fractional coordinates):
Hf  0.0000  0.0000  0.0000
Sc  0.5000  0.5000  0.5000
Zn  0.2500  0.2500  0.2500
Os  0.7500  0.7500  0.7500